DFT (PBE) results for a geometry-optimized Sr5Cd6 structure.

Computed properties:
Its density of states at the Fermi level is 0.897 states/eV per atom. The total magnetization comes out at 0.0 μB per formula unit. The mass density is 4.9 Mg/m³. For the formation energy, the calculation gives -0.218 eV per atom.

a = 9.1964 Å, b = 16.4013 Å, c = 6.0543 Å
α = 90.00°, β = 124.59°, γ = 90.00°
Space group C2/m (No. 12)
Unique sites:
Sr 0.0000 0.0000 0.0000 x2
Sr 0.0000 0.1501 0.5000 x4
Sr 0.0000 0.3068 0.0000 x4
Cd 0.1437 0.5000 0.3087 x4
Cd 0.1990 0.3498 0.6767 x8